Density functional theory data (GGA-PBE) for an optimized crystal structure of MgTc.

Summary:
Its crystal system is monoclinic. The calculation puts the energy relative to the lowest polymorph listed for this composition at 0.2302 eV/atom. The calculation puts the magnetic moment at 0.088 μB/cell.

The structure in extended XYZ format:
```
10
Lattice="5.111 0.000 0.000 0.000 4.556 0.000 -2.549 0.000 7.086" Properties=species:S:1:pos:R:3 pbc="T T T"
Mg 0.000 0.000 0.000
Mg -1.642 2.278 5.487
Mg -0.138 0.000 2.771
Mg 0.005 0.000 5.542
Mg 3.462 2.278 0.047
Tc 1.065 2.278 1.545
Tc 1.070 2.278 3.996
Tc 2.379 0.000 1.511
Tc 2.381 0.000 4.030
Tc 3.534 2.278 2.765
```